Record 1
Crystalline Sr3Sb2AsAu6 at its relaxed geometry, computed with GGA-PBE.

Output
Space-group type: No. 164
D(E_F) (states/eV/cell): 6.2
Spin magnetization (Bohr magnetons per cell): 0.00
ΔE_f (raw) (eV/atom): -0.50
Calculated density (kg/m³): 9134

```
data_Sr3Sb2AsAu6
_symmetry_space_group_name_H-M 'P 1'
_symmetry_Int_Tables_number 1
_symmetry_space_group_name_Hall 'P 1'
_cell_length_a 6.0675
_cell_length_b 6.0675
_cell_length_c 10.0535
_cell_angle_alpha 90.00
_cell_angle_beta 90.00
_cell_angle_gamma 120.00
loop_
_atom_site_label
_atom_site_fract_x
_atom_site_fract_y
_atom_site_fract_z
Sr1 0.0000 0.0000 0.0000
Sr2 0.3333 0.6667 0.5965
Sr3 0.6667 0.3333 0.4035
Sb1 0.3333 0.6667 0.0808
Sb2 0.6667 0.3333 0.9192
As1 0.0000 0.0000 0.5000
Au1 0.1644 0.3289 0.2884
Au2 0.1644 0.8356 0.2884
Au3 0.3289 0.1644 0.7116
Au4 0.6711 0.8356 0.2884
Au5 0.8356 0.1644 0.7116
Au6 0.8356 0.6711 0.7116
```

Record 2
Crystalline TaSbAs2Au at its relaxed geometry, computed with GGA-PBE.

Output
Space-group type: No. 123
D(E_F) (states/eV/cell): 6.6
Spin magnetization (Bohr magnetons per cell): 0.00
ΔE_f (raw) (eV/atom): 1.53
Calculated density (kg/m³): 8125

```
data_TaSbAs2Au
_symmetry_space_group_name_H-M 'P 1'
_symmetry_Int_Tables_number 1
_symmetry_space_group_name_Hall 'P 1'
_cell_length_a 5.1550
_cell_length_b 5.1550
_cell_length_c 4.9955
_cell_angle_alpha 90.00
_cell_angle_beta 90.00
_cell_angle_gamma 90.00
loop_
_atom_site_label
_atom_site_fract_x
_atom_site_fract_y
_atom_site_fract_z
Ta1 0.0000 0.0000 0.0000
Sb1 0.5000 0.5000 0.5000
As1 0.0000 0.5000 0.5000
As2 0.5000 0.0000 0.5000
Au1 0.5000 0.5000 0.0000
```

Record 3
Crystalline Sb2TeAsAu at its relaxed geometry, computed with GGA-PBE.

Output
Space-group type: No. 123
D(E_F) (states/eV/cell): 4.1
Spin magnetization (Bohr magnetons per cell): 0.00
E above lowest polymorph (kJ/mol of atoms): 2.2
ΔE_f (raw) (eV/atom): 0.80
Calculated density (kg/m³): 6903

```
data_Sb2TeAsAu
_symmetry_space_group_name_H-M 'P 1'
_symmetry_Int_Tables_number 1
_symmetry_space_group_name_Hall 'P 1'
_cell_length_a 5.3376
_cell_length_b 5.3376
_cell_length_c 5.4292
_cell_angle_alpha 90.00
_cell_angle_beta 90.00
_cell_angle_gamma 90.00
loop_
_atom_site_label
_atom_site_fract_x
_atom_site_fract_y
_atom_site_fract_z
Sb1 0.0000 0.5000 0.0000
Sb2 0.5000 0.0000 0.0000
Te1 0.0000 0.0000 0.5000
As1 0.0000 0.0000 0.0000
Au1 0.5000 0.5000 0.5000
```

Record 4
Crystalline Sb2TeAsAu at its relaxed geometry, computed with GGA-PBE.

Output
Space-group type: No. 123
D(E_F) (states/eV/cell): 5.6
Spin magnetization (Bohr magnetons per cell): 0.00
E above lowest polymorph (kJ/mol of atoms): 0.0
ΔE_f (raw) (eV/atom): 0.77
Calculated density (kg/m³): 6886

```
data_Sb2TeAsAu
_symmetry_space_group_name_H-M 'P 1'
_symmetry_Int_Tables_number 1
_symmetry_space_group_name_Hall 'P 1'
_cell_length_a 5.3490
_cell_length_b 5.3490
_cell_length_c 5.4192
_cell_angle_alpha 90.00
_cell_angle_beta 90.00
_cell_angle_gamma 90.00
loop_
_atom_site_label
_atom_site_fract_x
_atom_site_fract_y
_atom_site_fract_z
Sb1 0.0000 0.5000 0.0000
Sb2 0.5000 0.0000 0.0000
Te1 0.0000 0.0000 0.5000
As1 0.5000 0.5000 0.5000
Au1 0.0000 0.0000 0.0000
```

Record 5
Crystalline Th4Sb2AsAu at its relaxed geometry, computed with GGA-PBE.

Output
Space-group type: No. 10
D(E_F) (states/eV/cell): 5.3
Spin magnetization (Bohr magnetons per cell): 0.00
ΔE_f (raw) (eV/atom): -0.93
Calculated density (kg/m³): 9945

```
data_Th4Sb2AsAu
_symmetry_space_group_name_H-M 'P 1'
_symmetry_Int_Tables_number 1
_symmetry_space_group_name_Hall 'P 1'
_cell_length_a 7.6440
_cell_length_b 4.3075
_cell_length_c 7.7318
_cell_angle_alpha 90.00
_cell_angle_beta 108.77
_cell_angle_gamma 90.00
loop_
_atom_site_label
_atom_site_fract_x
_atom_site_fract_y
_atom_site_fract_z
Th1 0.2407 0.0000 0.2311
Th2 0.2590 0.5000 0.7691
Th3 0.7410 0.5000 0.2309
Th4 0.7593 0.0000 0.7689
Sb1 0.0000 0.0000 0.5000
Sb2 0.5000 0.5000 0.5000
As1 0.0000 0.5000 0.0000
Au1 0.5000 0.0000 0.0000
```

Record 6
Crystalline Tl4Sb2As2Au at its relaxed geometry, computed with GGA-PBE.

Output
Space-group type: No. 12
D(E_F) (states/eV/cell): 2.5
Spin magnetization (Bohr magnetons per cell): 0.00
ΔE_f (raw) (eV/atom): 0.04
Calculated density (kg/m³): 8631

```
data_Tl4Sb2As2Au
_symmetry_space_group_name_H-M 'P 1'
_symmetry_Int_Tables_number 1
_symmetry_space_group_name_Hall 'P 1'
_cell_length_a 6.8091
_cell_length_b 6.8091
_cell_length_c 5.9505
_cell_angle_alpha 91.58
_cell_angle_beta 91.58
_cell_angle_gamma 79.25
loop_
_atom_site_label
_atom_site_fract_x
_atom_site_fract_y
_atom_site_fract_z
Tl1 0.0907 0.5898 0.7569
Tl2 0.4102 0.9093 0.2431
Tl3 0.5898 0.0907 0.7569
Tl4 0.9093 0.4102 0.2431
Sb1 0.0665 0.0665 0.7073
Sb2 0.9335 0.9335 0.2927
As1 0.4028 0.4028 0.3826
As2 0.5972 0.5972 0.6174
Au1 0.5000 0.5000 0.0000
```

Number 4 is which compound?
Sb2TeAsAu